Entry 1:
! YIr2, relaxed, DFT PBE; values from VASP
! DFT total energy, eV per cell: -51.392
! Formation energy, eV/f.u.: -1.510
! Space-group type: I4/mcm (140)
&SYSTEM
  ibrav = 0, nat = 6, ntyp = 2
/
ATOMIC_SPECIES
Y 88.91 Y.upf
Ir 192.22 Ir.upf
CELL_PARAMETERS angstrom
-2.599 2.599 4.478
2.599 -2.599 4.478
2.599 2.599 -4.478
ATOMIC_POSITIONS crystal
Y 0.250 0.250 0.000
Y 0.750 0.750 0.000
Ir 0.177 0.677 0.853
Ir 0.323 0.177 0.500
Ir 0.677 0.823 0.500
Ir 0.823 0.323 0.147

***

Entry 2:
! Y2Ir, relaxed, DFT PBE; values from VASP
! DFT total energy, eV per cell: -23.336
! Formation energy, eV/f.u.: -1.547
! Space-group type: P-3m1 (164)
&SYSTEM
  ibrav = 0, nat = 3, ntyp = 2
/
ATOMIC_SPECIES
Y 88.91 Y.upf
Ir 192.22 Ir.upf
CELL_PARAMETERS angstrom
4.105 0.000 0.000
-2.053 3.555 0.000
0.000 0.000 6.145
ATOMIC_POSITIONS crystal
Y 0.333 0.667 0.232
Y 0.667 0.333 0.768
Ir 0.000 0.000 0.000

***

Entry 3:
! YIr2, relaxed, DFT PBE; values from VASP
! DFT total energy, eV per cell: -51.717
! Formation energy, eV/f.u.: -1.672
! Space-group type: I4_1/amd (141)
&SYSTEM
  ibrav = 0, nat = 6, ntyp = 2
/
ATOMIC_SPECIES
Y 88.91 Y.upf
Ir 192.22 Ir.upf
CELL_PARAMETERS angstrom
-2.082 2.082 7.363
2.082 -2.082 7.363
2.082 2.082 -7.363
ATOMIC_POSITIONS crystal
Y 0.375 0.625 0.750
Y 0.625 0.375 0.250
Ir 0.043 0.793 0.250
Ir 0.207 0.957 0.250
Ir 0.793 0.043 0.750
Ir 0.957 0.207 0.750

***

Entry 4:
! YIr, relaxed, DFT PBE; values from VASP
! DFT total energy, eV per cell: -33.466
! Formation energy, eV/f.u.: -1.408
! Space-group type: P6_3/mmc (194)
&SYSTEM
  ibrav = 0, nat = 4, ntyp = 2
/
ATOMIC_SPECIES
Y 88.91 Y.upf
Ir 192.22 Ir.upf
CELL_PARAMETERS angstrom
4.489 0.000 0.000
-2.244 3.887 0.000
0.000 0.000 5.322
ATOMIC_POSITIONS crystal
Y 0.333 0.667 0.250
Y 0.667 0.333 0.750
Ir 0.000 0.000 0.000
Ir 0.000 0.000 0.500

***

Entry 5:
! YIr4, relaxed, DFT PBE; values from VASP
! DFT total energy, eV per cell: -34.443
! Formation energy, eV/f.u.: 7.465
! Space-group type: Im-3m (229)
&SYSTEM
  ibrav = 0, nat = 5, ntyp = 2
/
ATOMIC_SPECIES
Y 88.91 Y.upf
Ir 192.22 Ir.upf
CELL_PARAMETERS angstrom
-2.967 2.967 2.967
2.967 -2.967 2.967
2.967 2.967 -2.967
ATOMIC_POSITIONS crystal
Y 0.000 0.000 0.000
Ir 0.000 0.000 0.500
Ir 0.000 0.500 0.000
Ir 0.500 0.000 0.000
Ir 0.500 0.500 0.500

***

Entry 6:
! Y5Ir, relaxed, DFT PBE; values from VASP
! DFT total energy, eV per cell: -42.895
! Formation energy, eV/f.u.: -1.714
! Space-group type: C2/m (12)
&SYSTEM
  ibrav = 0, nat = 6, ntyp = 2
/
ATOMIC_SPECIES
Y 88.91 Y.upf
Ir 192.22 Ir.upf
CELL_PARAMETERS angstrom
6.078 -1.819 0.000
6.078 1.819 0.000
-3.124 0.000 7.765
ATOMIC_POSITIONS crystal
Y 0.000 0.000 0.000
Y 0.335 0.335 0.213
Y 0.369 0.369 0.628
Y 0.631 0.631 0.372
Y 0.665 0.665 0.787
Ir 0.000 0.000 0.500

***

Entry 7:
! YIr2, relaxed, DFT PBE; values from VASP
! DFT total energy, eV per cell: -87.555
! Formation energy, eV/f.u.: 2.297
! Space-group type: Pa-3 (205)
&SYSTEM
  ibrav = 0, nat = 12, ntyp = 2
/
ATOMIC_SPECIES
Y 88.91 Y.upf
Ir 192.22 Ir.upf
CELL_PARAMETERS angstrom
6.585 0.000 0.000
0.000 6.585 0.000
0.000 0.000 6.585
ATOMIC_POSITIONS crystal
Y 0.000 0.000 0.000
Y 0.000 0.500 0.500
Y 0.500 0.000 0.500
Y 0.500 0.500 0.000
Ir 0.105 0.605 0.895
Ir 0.105 0.895 0.395
Ir 0.395 0.105 0.895
Ir 0.395 0.395 0.395
Ir 0.605 0.605 0.605
Ir 0.605 0.895 0.105
Ir 0.895 0.105 0.605
Ir 0.895 0.395 0.105

***

Entry 8:
! Y4Ir5, relaxed, DFT PBE; values from VASP
! DFT total energy, eV per cell: -74.579
! Formation energy, eV/f.u.: -4.417
! Space-group type: I4/mmm (139)
&SYSTEM
  ibrav = 0, nat = 9, ntyp = 2
/
ATOMIC_SPECIES
Y 88.91 Y.upf
Ir 192.22 Ir.upf
CELL_PARAMETERS angstrom
-4.663 4.663 2.093
4.663 -4.663 2.093
4.663 4.663 -2.093
ATOMIC_POSITIONS crystal
Y 0.000 0.288 0.288
Y 0.000 0.712 0.712
Y 0.288 0.000 0.288
Y 0.712 0.000 0.712
Ir 0.000 0.000 0.000
Ir 0.337 0.337 0.674
Ir 0.337 0.663 0.000
Ir 0.663 0.337 0.000
Ir 0.663 0.663 0.326

***

What did the seventh record say?
! YIr2, relaxed, DFT PBE; values from VASP
! DFT total energy, eV per cell: -87.555
! Formation energy, eV/f.u.: 2.297
! Space-group type: Pa-3 (205)
&SYSTEM
  ibrav = 0, nat = 12, ntyp = 2
/
ATOMIC_SPECIES
Y 88.91 Y.upf
Ir 192.22 Ir.upf
CELL_PARAMETERS angstrom
6.585 0.000 0.000
0.000 6.585 0.000
0.000 0.000 6.585
ATOMIC_POSITIONS crystal
Y 0.000 0.000 0.000
Y 0.000 0.500 0.500
Y 0.500 0.000 0.500
Y 0.500 0.500 0.000
Ir 0.105 0.605 0.895
Ir 0.105 0.895 0.395
Ir 0.395 0.105 0.895
Ir 0.395 0.395 0.395
Ir 0.605 0.605 0.605
Ir 0.605 0.895 0.105
Ir 0.895 0.105 0.605
Ir 0.895 0.395 0.105